No. 1
HgRu2Se after structural relaxation. Source: Alexandria, functional GGA-PBE.

Results
magnetization: 0.00 μB per atom
E_form (uncorrected): 56.2 kJ per mole of atoms
ρ: 11079 kg/m³
DFT total energy: -5.002 eV/atom
calculated volume: 289 Å³ per cell

Cell lengths 7.031, 7.031, 5.841 Å; angles 90.00, 90.00, 90.00 degrees
Space group I-42d (No. 122)
One atom of each set of equivalent atoms:
Hg 0.000 0.000 0.000
Ru 0.192 0.250 0.625
Se 0.000 0.000 0.500



No. 2
Hg2RuSe after structural relaxation. Source: Alexandria, functional GGA-PBE.

Results
magnetization: 0.00 μB per atom
E_form (uncorrected): 29.6 kJ per mole of atoms
ρ: 9010 kg/m³
DFT total energy: -3.034 eV/atom
calculated volume: 428 Å³ per cell

Cell lengths 9.674, 9.674, 4.578 Å; angles 90.00, 90.00, 90.00 degrees
Space group I-42d (No. 122)
One atom of each set of equivalent atoms:
Hg 0.129 0.250 0.125
Ru 0.000 0.000 0.000
Se 0.000 0.000 0.500



No. 3
HgRu2Se after structural relaxation. Source: Alexandria, functional GGA-PBE.

Results
magnetization: 0.11 μB per atom
E_form (uncorrected): 56.5 kJ per mole of atoms
ρ: 12169 kg/m³
DFT total energy: -4.998 eV/atom
calculated volume: 66 Å³ per cell

Cell lengths 4.549, 4.549, 3.177 Å; angles 90.00, 90.00, 90.00 degrees
Space group P4/mmm (No. 123)
One atom of each set of equivalent atoms:
Hg 0.000 0.000 0.000
Ru 0.000 0.500 0.500
Se 0.500 0.500 0.000